(1)
Below is an optimized crystal structure of VCuTeAu2, with properties calculated at the PBE-GGA level.

Cell and atoms, written as POSCAR:
```
VCuTeAu2
1.0
4.7720 0.0000 0.0000
0.0000 4.7673 0.0000
0.0000 0.0000 4.7720
Te Au Cu V
1 2 1 1
Direct
0.5000 0.5000 0.5000
0.0000 0.0000 0.5000
0.5000 0.0000 0.0000
0.0000 0.0000 0.0000
0.0000 0.5000 0.0000
```

Calculated values
Total moment (μB per formula unit): 3.10
Mass density (g/cm³): 9.73
E (eV/cell): -19.83
ΔE_f (raw) (eV/atom): 0.6171
Space group: P4/mmm (123)

=====

(2)
Below is an optimized crystal structure of YCuTeAu2, with properties calculated at the PBE-GGA level.

Cell and atoms, written as POSCAR:
```
YCuTeAu2
1.0
-0.7541 0.2474 -4.7157
-0.7226 -5.2907 -0.1620
-4.6777 0.6150 0.7803
Y Te Au Cu
1 1 2 1
Direct
0.0000 0.5000 0.0000
0.5000 0.5000 0.5000
0.0000 0.0000 0.5000
0.5000 0.0000 0.0000
0.0000 0.0000 0.0000
```

Calculated values
Total moment (μB per formula unit): 0.00
Mass density (g/cm³): 9.16
E (eV/cell): -20.80
ΔE_f (raw) (eV/atom): -0.1082
Space group: P4/mmm (123)

=====

(3)
Below is an optimized crystal structure of Th3Cu2Au4, with properties calculated at the PBE-GGA level.

Cell and atoms, written as POSCAR:
```
Th3Cu2Au4
1.0
-3.4213 -3.1665 0.0243
3.7747 -0.6807 -4.4228
2.9395 -3.1166 7.7166
Th Cu Au
3 2 4
Direct
0.6664 0.3327 0.6638
0.0000 0.0000 0.0000
0.3336 0.6673 0.3362
0.6084 0.2168 0.2800
0.3916 0.7832 0.7200
0.7146 0.4292 0.0632
0.2854 0.5708 0.9368
0.9399 0.8798 0.6158
0.0601 0.1202 0.3842
```

Calculated values
Energy of formation from the pure elements (eV/atom): -0.57
Total moment (μB per formula unit): 0.00
Mass density (g/cm³): 13.49
E (eV/cell): -48.72
Space group: C2/m (12)

=====

(4)
Below is an optimized crystal structure of ThCuAu4, with properties calculated at the PBE-GGA level.

Cell and atoms, written as POSCAR:
```
ThCuAu4
1.0
5.5601 0.0000 0.0000
2.7800 4.8152 0.0000
2.7800 1.6051 4.5398
Au Cu Th
4 1 1
Direct
0.6258 0.6258 0.1226
0.6258 0.1226 0.6258
0.6258 0.6258 0.6258
0.1226 0.6258 0.6258
0.0000 0.0000 0.0000
0.2500 0.2500 0.2500
```

Calculated values
Energy of formation from the pure elements (eV/atom): -0.28
Total moment (μB per formula unit): 0.00
Mass density (g/cm³): 14.80
E (eV/cell): -26.29
Space group: F-43m (216)

=====

(5)
Below is an optimized crystal structure of Th4CuAu, with properties calculated at the PBE-GGA level.

Cell and atoms, written as POSCAR:
```
Th4CuAu
1.0
5.8504 0.0000 0.0000
0.0000 7.4270 0.0000
0.0000 0.0000 7.4270
Th Cu Au
8 2 2
Direct
0.0000 0.1641 0.6538
0.0000 0.8359 0.3462
0.0000 0.3462 0.1641
0.0000 0.6538 0.8359
0.5000 0.8359 0.6538
0.5000 0.1641 0.3462
0.5000 0.6538 0.1641
0.5000 0.3462 0.8359
0.2500 0.5000 0.5000
0.7500 0.5000 0.5000
0.2500 0.0000 0.0000
0.7500 0.0000 0.0000
```

Calculated values
Energy of formation from the pure elements (eV/atom): -0.25
Total moment (μB per formula unit): 0.00
Mass density (g/cm³): 12.23
E (eV/cell): -77.09
Space group: P4/mcc (124)

=====

(6)
Below is an optimized crystal structure of ThCu4Au, with properties calculated at the PBE-GGA level.

Cell and atoms, written as POSCAR:
```
ThCu4Au
1.0
5.1425 0.0000 0.0000
2.5713 4.4536 0.0000
2.5713 1.4845 4.1989
Au Cu Th
1 4 1
Direct
0.0000 0.0000 0.0000
0.6265 0.6265 0.1205
0.6265 0.1205 0.6265
0.6265 0.6265 0.6265
0.1205 0.6265 0.6265
0.2500 0.2500 0.2500
```

Calculated values
Energy of formation from the pure elements (eV/atom): -0.31
Total moment (μB per formula unit): 0.00
Mass density (g/cm³): 11.80
E (eV/cell): -28.92
Space group: F-43m (216)

=====

(7)
Below is an optimized crystal structure of Th2Cu2Au, with properties calculated at the PBE-GGA level.

Cell and atoms, written as POSCAR:
```
Th2Cu2Au
1.0
-6.3236 -3.4179 1.1708
3.5892 -6.2126 1.2495
0.4679 1.8861 8.0335
Th Cu Au
8 8 4
Direct
0.6731 0.8269 0.5000
0.3269 0.1731 0.5000
0.8269 0.3269 0.0000
0.1731 0.6731 0.0000
0.8269 0.3269 0.5000
0.1731 0.6731 0.5000
0.3269 0.1731 0.0000
0.6731 0.8269 0.0000
0.3769 0.8769 0.2500
0.6231 0.1231 0.2500
0.1231 0.3769 0.7500
0.8769 0.6231 0.7500
0.8769 0.6231 0.2500
0.1231 0.3769 0.2500
0.3769 0.8769 0.7500
0.6231 0.1231 0.7500
0.5000 0.5000 0.2500
0.0000 0.0000 0.7500
0.5000 0.5000 0.7500
0.0000 0.0000 0.2500
```

Calculated values
Energy of formation from the pure elements (eV/atom): -0.31
Total moment (μB per formula unit): 0.00
Mass density (g/cm³): 11.94
E (eV/cell): -111.52
Space group: P4/mbm (127)

=====

(8)
Below is an optimized crystal structure of ThCu2Au8, with properties calculated at the PBE-GGA level.

Cell and atoms, written as POSCAR:
```
ThCu2Au8
1.0
-2.4357 4.0070 0.8748
-5.2506 -5.0357 -1.5540
3.7322 -1.2911 6.3044
Th Cu Au
1 2 8
Direct
0.5000 0.0000 0.0000
0.0000 0.3178 0.6822
0.0000 0.6822 0.3178
0.8768 0.9294 0.6726
0.8768 0.6726 0.9294
0.3241 0.5967 0.5967
0.5000 0.7641 0.2359
0.5000 0.2359 0.7641
0.6759 0.4033 0.4033
0.1232 0.3274 0.0706
0.1232 0.0706 0.3274
```

Calculated values
Energy of formation from the pure elements (eV/atom): -0.16
Total moment (μB per formula unit): 0.00
Mass density (g/cm³): 15.01
E (eV/cell): -43.64
Space group: C2/m (12)

=====

(9)
Below is an optimized crystal structure of ThCu2Au10, with properties calculated at the PBE-GGA level.

Cell and atoms, written as POSCAR:
```
ThCu2Au10
1.0
-4.2121 -2.7361 2.1730
1.3958 -2.4769 6.4781
-4.4629 4.4217 3.8081
Th Cu Au
1 2 10
Direct
0.0000 0.0000 0.0000
0.0000 0.5000 0.0000
0.5000 0.5000 0.0000
0.3379 0.6462 0.6780
0.6621 0.3538 0.3220
0.9841 0.3538 0.6780
0.0159 0.6462 0.3220
0.0000 0.0000 0.5000
0.5000 0.0000 0.5000
0.2871 0.2213 0.2046
0.7129 0.7787 0.7954
0.5083 0.7787 0.2046
0.4917 0.2213 0.7954
```

Calculated values
Energy of formation from the pure elements (eV/atom): -0.20
Total moment (μB per formula unit): 0.00
Mass density (g/cm³): 15.89
E (eV/cell): -51.03
Space group: Fmmm (69)

=====

(10)
Below is an optimized crystal structure of Th2Cu3Au, with properties calculated at the PBE-GGA level.

Cell and atoms, written as POSCAR:
```
Th2Cu3Au
1.0
5.6779 -0.5991 0.0000
-0.8192 5.6503 0.0000
-2.4294 -2.5256 7.8018
Th Cu Au
4 6 2
Direct
0.2500 0.7500 0.5000
0.7518 0.7518 0.0000
0.7500 0.2500 0.5000
0.2482 0.2482 0.0000
0.3236 0.8383 0.1619
0.1617 0.6764 0.8381
0.6764 0.1617 0.8381
0.8383 0.3236 0.1619
0.1617 0.1617 0.3234
0.8383 0.8383 0.6766
0.6669 0.6669 0.3339
0.3331 0.3331 0.6661
```

Calculated values
Energy of formation from the pure elements (eV/atom): -0.34
Total moment (μB per formula unit): 0.00
Mass density (g/cm³): 11.48
E (eV/cell): -64.89
Energy above the most stable polymorph in this dataset (eV per atom): 0.000
Space group: Fmmm (69)

=====

(11)
Below is an optimized crystal structure of Th2CuAu3, with properties calculated at the PBE-GGA level.

Cell and atoms, written as POSCAR:
```
Th2CuAu3
1.0
-0.6326 -2.5229 -2.3186
-1.7028 -2.7159 3.4199
-7.5032 3.0724 -1.2960
Th Cu Au
2 1 3
Direct
0.0000 0.5000 0.0043
0.0000 0.0000 0.4978
0.5000 0.5000 0.3287
0.5000 0.0000 0.8383
0.5000 0.0000 0.1807
0.5000 0.5000 0.6502
```

Calculated values
Energy of formation from the pure elements (eV/atom): -0.61
Total moment (μB per formula unit): 0.00
Mass density (g/cm³): 13.85
E (eV/cell): -32.42
Energy above the most stable polymorph in this dataset (eV per atom): 0.000
Space group: Pmm2 (25)

=====

(12)
Below is an optimized crystal structure of Th3Cu2Au3, with properties calculated at the PBE-GGA level.

Cell and atoms, written as POSCAR:
```
Th3Cu2Au3
1.0
4.5544 0.0000 0.0000
-2.2772 5.2619 0.0000
0.0000 0.0000 15.1445
Th Cu Au
6 4 6
Direct
0.9131 0.8263 0.3994
0.0869 0.1737 0.8994
0.9131 0.8263 0.1006
0.0869 0.1737 0.6006
0.6453 0.2906 0.2500
0.3547 0.7094 0.7500
0.7929 0.5857 0.8940
0.2071 0.4143 0.3940
0.7929 0.5857 0.6060
0.2071 0.4143 0.1060
0.6197 0.2394 0.4549
0.3803 0.7606 0.9549
0.6197 0.2394 0.0451
0.3803 0.7606 0.5451
0.3578 0.7156 0.2500
0.6422 0.2844 0.7500
```

Calculated values
Energy of formation from the pure elements (eV/atom): -0.48
Total moment (μB per formula unit): 0.00
Mass density (g/cm³): 12.94
E (eV/cell): -88.25
Space group: Cmcm (63)

=====

Question: Look up the E of the twelfth one.
Answer: -88.25 eV/cell

=====

Question: total moment of number 8 (ThCu2Au8)?
Answer: 0.00 μB per formula unit